First-principles (PBE) data for Mg12Ga2Hg5 after structural relaxation, as listed in Alexandria via LeMat-Bulk. Values from VASP.

## Properties
The total energy is -1.4731 eV/atom.

Cell and atoms, written as Quantum ESPRESSO input:
```
&SYSTEM
  ibrav = 0, nat = 19, ntyp = 3
/
ATOMIC_SPECIES
Mg 24.30 Mg.upf
Ga 69.72 Ga.upf
Hg 200.59 Hg.upf
ATOMIC_POSITIONS crystal
Mg 0.989 0.978 0.190
Mg 0.066 0.643 0.876
Mg 0.576 0.643 0.876
Mg 0.112 0.712 0.410
Mg 0.600 0.712 0.410
Mg 0.479 0.958 0.700
Mg 0.521 0.042 0.300
Mg 0.888 0.288 0.590
Mg 0.400 0.288 0.590
Mg 0.934 0.357 0.124
Mg 0.424 0.357 0.124
Mg 0.011 0.022 0.810
Ga 0.688 0.000 0.000
Ga 0.312 0.000 0.000
Hg 0.291 0.582 0.628
Hg 0.337 0.674 0.146
Hg 0.000 0.000 0.500
Hg 0.663 0.326 0.854
Hg 0.709 0.418 0.372
CELL_PARAMETERS angstrom
6.764 0.000 0.000
-3.382 7.456 0.747
0.000 -1.824 8.891
```

First-principles (PBE) data for Mg3Ga3Hg after structural relaxation, as listed in Alexandria via LeMat-Bulk. Values from VASP.

## Properties
The total energy is -1.5487 eV/atom. The energy relative to the lowest polymorph listed for this composition comes out at 0.588 eV/atom.

Cell and atoms, written as Quantum ESPRESSO input:
```
&SYSTEM
  ibrav = 0, nat = 14, ntyp = 3
/
ATOMIC_SPECIES
Mg 24.30 Mg.upf
Hg 200.59 Hg.upf
Ga 69.72 Ga.upf
ATOMIC_POSITIONS crystal
Mg 0.000 0.250 0.500
Mg 0.000 0.750 0.500
Mg 0.500 0.000 0.750
Mg 0.750 0.500 0.000
Mg 0.500 0.000 0.250
Mg 0.250 0.500 0.000
Hg 0.500 0.500 0.500
Hg 0.000 0.000 0.000
Ga 0.250 0.000 0.500
Ga 0.000 0.500 0.250
Ga 0.500 0.750 0.000
Ga 0.750 0.000 0.500
Ga 0.000 0.500 0.750
Ga 0.500 0.250 0.000
CELL_PARAMETERS angstrom
7.680 0.000 0.000
0.000 7.680 0.000
0.000 0.000 7.680
```

First-principles (PBE) data for Mg6GaHg5 after structural relaxation, as listed in Alexandria via LeMat-Bulk. Values from VASP.

## Properties
The total energy is -1.3771 eV/atom.

Cell and atoms, written as Quantum ESPRESSO input:
```
&SYSTEM
  ibrav = 0, nat = 12, ntyp = 3
/
ATOMIC_SPECIES
Mg 24.30 Mg.upf
Ga 69.72 Ga.upf
Hg 200.59 Hg.upf
ATOMIC_POSITIONS crystal
Mg 0.754 0.080 0.332
Mg 0.246 0.588 0.332
Mg 0.250 0.248 0.000
Mg 0.750 0.752 0.000
Mg 0.754 0.412 0.668
Mg 0.246 0.920 0.668
Ga 0.000 0.000 0.000
Hg 0.500 0.168 0.664
Hg 0.000 0.337 0.326
Hg 0.500 0.500 0.000
Hg 0.000 0.663 0.674
Hg 0.500 0.832 0.336
CELL_PARAMETERS angstrom
8.628 0.217 0.000
2.479 4.153 0.000
1.239 2.076 7.178
```

Number 1: magnetization 0.0 Bohr magnetons per cell. Number 2: magnetization 0.0 Bohr magnetons per cell. Number 3: magnetization 0.0 Bohr magnetons per cell.